VASP calculation (PBE+U) on crystalline Sr2MoF at its relaxed geometry.

a = 7.0106 Å, b = 7.0106 Å, c = 7.0106 Å
α = 112.95°, β = 112.95°, γ = 102.72°
Sites, in units of the cell vectors:
1 Sr 0.0193 0.6250 0.8943
2 Sr 0.3750 0.2693 0.3943
3 Sr 0.7307 0.1250 0.1057
4 Sr 0.8750 0.9807 0.6057
5 Mo 0.2500 0.7500 0.5000
6 Mo 0.5000 0.5000 0.0000
7 F 0.0000 0.0000 0.0000
8 F 0.7500 0.2500 0.5000

Summary:
V = 32.82 Å³ per atom
Final energy = -0.1427 Ha/atom
Energy relative to the lowest polymorph listed for this composition = 0.0 kJ per mole of atoms